An optimized crystal structure of Al2CdTe. Source: Alexandria, functional PBE-GGA.

a = 3.9363 Å, b = 4.8512 Å, c = 4.8525 Å
α = 90.00°, β = 90.00°, γ = 90.00°
Space group Pmmm (No. 47)
One atom of each set of equivalent atoms:
Al 0.0000 0.0000 0.0000
Al 0.5000 0.0000 0.5000
Cd 0.0000 0.5000 0.5000
Te 0.5000 0.5000 0.0000

Calculated values
* E_form (uncorrected): 0.224 eV/atom
* distance to the lowest polymorph of the same formula: 196 meV per atom